Compound: TaHBr2
Source: the Alexandria database
Functional: GGA-PBE
Structure: relaxed

Cell lengths 9.3690, 9.3690, 9.3690 Å; angles 20.38, 20.38, 20.38 degrees
Element x y z (fractional)
Ta 0.0000 0.0000 0.0000
H 0.5000 0.5000 0.5000
Br 0.4020 0.4020 0.4020
Br 0.5980 0.5980 0.5980

Computed properties:
symmetry: No. 166


Compound: TaHBr6
Source: the Alexandria database
Functional: GGA-PBE
Structure: relaxed

Cell lengths 6.8256, 7.0043, 7.2962 Å; angles 105.13, 98.58, 117.55 degrees
Element x y z (fractional)
Ta 0.0000 0.0000 0.0000
H 0.5000 0.0000 0.0000
Br 0.0971 0.3731 0.2538
Br 0.1953 0.2106 0.7924
Br 0.3978 0.0606 0.1946
Br 0.6022 0.9394 0.8054
Br 0.8047 0.7894 0.2076
Br 0.9029 0.6269 0.7462

Computed properties:
symmetry: No. 2


Compound: TaH6Br12
Source: the Alexandria database
Functional: GGA-PBE
Structure: relaxed

Cell lengths 9.0889, 9.0899, 9.0920 Å; angles 90.11, 90.18, 90.17 degrees
Element x y z (fractional)
Ta 0.0000 0.0000 0.0000
H 0.3020 0.3130 0.5058
H 0.3132 0.5058 0.3018
H 0.4942 0.6981 0.6867
H 0.5058 0.3019 0.3133
H 0.6868 0.4942 0.6982
H 0.6980 0.6870 0.4942
Br 0.0394 0.7292 0.9538
Br 0.0465 0.9611 0.2708
Br 0.1916 0.5305 0.4035
Br 0.2708 0.0469 0.9611
Br 0.4038 0.1914 0.5307
Br 0.4693 0.5963 0.8084
Br 0.5307 0.4037 0.1916
Br 0.5962 0.8086 0.4693
Br 0.7292 0.9531 0.0389
Br 0.8084 0.4695 0.5965
Br 0.9535 0.0389 0.7292
Br 0.9606 0.2708 0.0462

Computed properties:
symmetry: No. 2


Energy
In order: -4.3731 -3.8675 -3.1332
Unit: eV/atom
Total magnetic moment
In order: 0.9 0.0 1.2
Unit: μB/f.u.